Record 1
# Na5LiHg2 | Alexandria | PBE-GGA | relaxed
# Formation energy: -13.0 kJ/mol of atoms
# Density of states at the Fermi level: 6.76 states/eV per cell
data_Na5LiHg2
_chemical_formula_sum 'Na10 Li2 Hg4'
_cell_length_a 6.801
_cell_length_b 13.619
_cell_length_c 4.674
_cell_angle_alpha 90.00
_cell_angle_beta 90.00
_cell_angle_gamma 90.00
_symmetry_space_group_name_H-M 'P b a m'
_symmetry_Int_Tables_number 55
loop_
_symmetry_equiv_pos_as_xyz
'x,y,z'
'-x,-y,-z'
'-x,-y,z'
'x,y,-z'
'x+1/2,-y+1/2,-z'
'-x+1/2,y+1/2,z'
'-x+1/2,y+1/2,-z'
'x+1/2,-y+1/2,z'
loop_
_atom_site_label
_atom_site_type_symbol
_atom_site_fract_x
_atom_site_fract_y
_atom_site_fract_z
Na1 Na 0.000 0.000 0.000
Na2 Na 0.008 0.252 0.000
Na3 Na 0.249 0.378 0.500
Li1 Li 0.000 0.500 0.000
Hg1 Hg 0.232 0.619 0.500

=====

Record 2
# Er3Pb2O2 | Alexandria | PBE-GGA | relaxed
# Density of states at the Fermi level: 5.31 states/eV per cell
# Uncorrected energy: -6.300 eV per atom
data_Er3Pb2O2
_chemical_formula_sum 'Er6 Pb4 O4'
_cell_length_a 12.092
_cell_length_b 3.898
_cell_length_c 7.720
_cell_angle_alpha 90.00
_cell_angle_beta 115.21
_cell_angle_gamma 90.00
_symmetry_space_group_name_H-M 'C 1 2/m 1'
_symmetry_Int_Tables_number 12
loop_
_symmetry_equiv_pos_as_xyz
'x,y,z'
'-x,-y,-z'
'-x,y,-z'
'x,-y,z'
'x+1/2,y+1/2,z'
'-x+1/2,-y+1/2,-z'
'-x+1/2,y+1/2,-z'
'x+1/2,-y+1/2,z'
loop_
_atom_site_label
_atom_site_type_symbol
_atom_site_fract_x
_atom_site_fract_y
_atom_site_fract_z
Er1 Er 0.000 0.000 0.000
Er2 Er 0.175 0.500 0.798
Pb1 Pb 0.142 0.500 0.362
O1 O 0.157 0.000 0.920

=====

Record 3
# Cu2TeS | Alexandria | PBE-GGA | relaxed
# Energy relative to the lowest polymorph listed for this composition: 14 meV/atom
# Density of states at the Fermi level: 7.48 states/eV per cell
data_Cu2TeS
_chemical_formula_sum 'Cu8 Te4 S4'
_cell_length_a 5.560
_cell_length_b 5.560
_cell_length_c 11.003
_cell_angle_alpha 90.00
_cell_angle_beta 90.00
_cell_angle_gamma 90.00
_symmetry_space_group_name_H-M 'I -4 2 d'
_symmetry_Int_Tables_number 122
_symmetry_space_group_name_Hall 'I -4 2bw'
loop_
_atom_site_label
_atom_site_type_symbol
_atom_site_fract_x
_atom_site_fract_y
_atom_site_fract_z
Cu1 Cu 0.200 0.250 0.125
Te1 Te 0.000 0.000 0.500
S1 S 0.000 0.000 0.000

=====

Record 4
# LaEr2Te | Alexandria | PBE-GGA | relaxed
# Density of states at the Fermi level: 19.56 states/eV per cell
# Uncorrected energy: -4.553 eV per atom
data_LaEr2Te
_chemical_formula_sum 'La3 Er6 Te3'
_cell_length_a 3.7895
_cell_length_b 3.7895
_cell_length_c 32.8819
_cell_angle_alpha 90.00
_cell_angle_beta 90.00
_cell_angle_gamma 120.00
_symmetry_space_group_name_H-M 'R -3 m'
_symmetry_Int_Tables_number 166
_symmetry_space_group_name_Hall '-R 3 2"'
loop_
_atom_site_label
_atom_site_type_symbol
_atom_site_fract_x
_atom_site_fract_y
_atom_site_fract_z
La1 La 0.0000 0.0000 0.0000
Er1 Er 0.0000 0.0000 0.1041
Te1 Te 0.0000 0.0000 0.5000

=====

Record 5
# BeZnSe2 | Alexandria | PBE-GGA | relaxed
# Energy relative to the lowest polymorph listed for this composition: 245 meV/atom
# Density of states at the Fermi level: 0.00 states/eV per cell
data_BeZnSe2
_chemical_formula_sum 'Be1 Zn1 Se2'
_cell_length_a 3.7996
_cell_length_b 3.7996
_cell_length_c 6.6579
_cell_angle_alpha 90.00
_cell_angle_beta 90.00
_cell_angle_gamma 120.00
_symmetry_space_group_name_H-M 'P 3 m 1'
_symmetry_Int_Tables_number 156
loop_
_symmetry_equiv_pos_as_xyz
'x,y,z'
'-y,x-y,z'
'-x+y,-x,z'
'-y,-x,z'
'-x+y,y,z'
'x,x-y,z'
loop_
_atom_site_label
_atom_site_type_symbol
_atom_site_fract_x
_atom_site_fract_y
_atom_site_fract_z
Be1 Be 0.0000 0.0000 0.0000
Zn1 Zn 0.3333 0.6667 0.5360
Se1 Se 0.3333 0.6667 0.9245
Se2 Se 0.6667 0.3333 0.3887

=====

Record 6
# HfInHg2 | Alexandria | PBE-GGA | relaxed
# Formation energy: 18.3 kJ/mol of atoms
# Density of states at the Fermi level: 17.68 states/eV per cell
data_HfInHg2
_chemical_formula_sum 'Hf4 In4 Hg8'
_cell_length_a 7.924
_cell_length_b 7.924
_cell_length_c 6.147
_cell_angle_alpha 90.00
_cell_angle_beta 90.00
_cell_angle_gamma 90.00
_symmetry_space_group_name_H-M 'I -4 2 d'
_symmetry_Int_Tables_number 122
_symmetry_space_group_name_Hall 'I -4 2bw'
loop_
_atom_site_label
_atom_site_type_symbol
_atom_site_fract_x
_atom_site_fract_y
_atom_site_fract_z
Hf1 Hf 0.000 0.000 0.000
In1 In 0.000 0.000 0.500
Hg1 Hg 0.249 0.250 0.125